No. 1
{
  "formula": "KSr2Mn",
  "functional": "meta-GGA SCAN",
  "state": "PBEsol geometry",
  "lattice": [[2.0972, 1.2108, 11.6851], [-2.0972, 1.2108, 11.6851], [0.0000, -2.4217, 11.6851]],
  "species": ["K", "Sr", "Sr", "Mn"],
  "frac_coords": [[0.0000, 0.0000, 0.0000], [0.2243, 0.2243, 0.2243], [0.7757, 0.7757, 0.7757], [0.5000, 0.5000, 0.5000]],
  "total_magnetization_mub_per_cell": 3.729,
  "energy_ry_per_atom": -1.2854,
  "e_form_mev_per_atom": 294.6,
  "de_polymorph_mev_per_atom": 0.0,
  "sg": "R-3m (166)"
}

=====

No. 2
{
  "formula": "Li3MgC",
  "functional": "meta-GGA SCAN",
  "state": "PBEsol geometry",
  "lattice": [[4.0914, 0.0000, 0.0000], [0.0000, 4.0914, 0.0000], [0.0000, 0.0000, 4.0914]],
  "species": ["Li", "Li", "Li", "Mg", "C"],
  "frac_coords": [[0.0000, 0.0000, 0.5000], [0.0000, 0.5000, 0.0000], [0.5000, 0.0000, 0.0000], [0.5000, 0.5000, 0.5000], [0.0000, 0.0000, 0.0000]],
  "total_magnetization_mub_per_cell": 0.000,
  "energy_ry_per_atom": -0.2983,
  "e_form_mev_per_atom": 390.2,
  "sg": "Pm-3m (221)"
}

=====

No. 3
{
  "formula": "LiCa2La",
  "functional": "meta-GGA SCAN",
  "state": "PBEsol geometry",
  "lattice": [[3.6372, 0.0000, 0.0000], [0.0000, 3.6372, 0.0000], [0.0000, 0.0000, 10.3256]],
  "species": ["Li", "Ca", "Ca", "La"],
  "frac_coords": [[0.0000, 0.0000, 0.0000], [0.5000, 0.5000, 0.2260], [0.5000, 0.5000, 0.7740], [0.0000, 0.0000, 0.5000]],
  "total_magnetization_mub_per_cell": 0.164,
  "energy_ry_per_atom": -1.1855,
  "e_form_mev_per_atom": 75.9,
  "de_polymorph_mev_per_atom": 12.2,
  "sg": "P4/mmm (123)"
}

=====

No. 4
{
  "formula": "Ca2Al2FeSi4BHO16",
  "functional": "meta-GGA SCAN",
  "state": "PBEsol geometry",
  "lattice": [[7.1024, 0.0000, 0.0000], [1.2976, 8.9003, 0.0000], [1.9997, -0.0332, 9.0214]],
  "species": ["Ca", "Ca", "Ca", "Ca", "Al", "Al", "Al", "Al", "Fe", "Fe", "Si", "Si", "Si", "Si", "Si", "Si", "Si", "Si", "B", "B", "H", "H", "O", "O", "O", "O", "O", "O", "O", "O", "O", "O", "O", "O", "O", "O", "O", "O", "O", "O", "O", "O", "O", "O", "O", "O", "O", "O", "O", "O", "O", "O", "O", "O"],
  "frac_coords": [[0.1849, 0.4187, 0.0986], [0.2504, 0.8946, 0.6521], [0.7496, 0.1054, 0.3479], [0.8151, 0.5813, 0.9014], [0.0523, 0.2473, 0.8005], [0.3492, 0.0787, 0.9357], [0.6508, 0.9213, 0.0643], [0.9477, 0.7527, 0.1995], [0.2309, 0.6025, 0.4200], [0.7691, 0.3975, 0.5800], [0.2046, 0.2676, 0.4502], [0.2186, 0.9780, 0.2750], [0.3086, 0.5095, 0.7428], [0.3592, 0.7307, 0.9797], [0.6408, 0.2693, 0.0203], [0.6914, 0.4905, 0.2572], [0.7814, 0.0220, 0.7250], [0.7954, 0.7324, 0.5498], [0.4644, 0.2104, 0.6326], [0.5356, 0.7896, 0.3674], [0.0179, 0.8736, 0.9580], [0.9821, 0.1264, 0.0420], [0.0198, 0.9335, 0.2437], [0.0449, 0.3132, 0.6037], [0.0941, 0.1788, 0.9947], [0.1268, 0.1342, 0.3695], [0.1269, 0.4344, 0.8428], [0.2044, 0.6752, 0.1210], [0.2251, 0.4064, 0.3373], [0.2402, 0.6388, 0.6314], [0.2750, 0.8847, 0.8991], [0.3238, 0.1467, 0.7449], [0.3290, 0.8647, 0.3849], [0.3812, 0.0043, 0.1267], [0.4066, 0.5866, 0.8628], [0.4158, 0.1902, 0.4861], [0.4338, 0.2550, 0.9812], [0.4751, 0.3734, 0.6565], [0.5249, 0.6266, 0.3435], [0.5662, 0.7450, 0.0188], [0.5842, 0.8098, 0.5139], [0.5934, 0.4134, 0.1372], [0.6188, 0.9957, 0.8733], [0.6710, 0.1353, 0.6151], [0.6762, 0.8533, 0.2551], [0.7250, 0.1153, 0.1009], [0.7598, 0.3612, 0.3686], [0.7749, 0.5936, 0.6627], [0.7956, 0.3248, 0.8790], [0.8731, 0.5656, 0.1572], [0.8732, 0.8658, 0.6305], [0.9059, 0.8212, 0.0053], [0.9551, 0.6868, 0.3963], [0.9802, 0.0665, 0.7563]],
  "total_magnetization_mub_per_cell": 8.000,
  "energy_ry_per_atom": -0.7713,
  "sg": "P-1 (2)"
}